(1)
Here is a relaxed structure of CeMg from the Alexandria database. Energies are from PBEsol.

a = 6.155 Å, b = 6.155 Å, c = 6.155 Å
α = 28.58°, β = 28.58°, γ = 28.58°
Sites, in units of the cell vectors:
Ce 0.000 0.000 0.000
Mg 0.500 0.500 0.500

## Properties
**Formation energy from the elements**: 0.03 eV/atom
**Density of states at the Fermi level**: 1.441 states/eV/atom
**V**: 47.2 Å³ per cell


(2)
Here is a relaxed structure of Ta5Al from the Alexandria database. Energies are from PBEsol.

a = 6.911 Å, b = 6.911 Å, c = 4.508 Å
α = 90.00°, β = 90.00°, γ = 151.19°
Sites, in units of the cell vectors:
Ta 0.000 0.000 0.000
Ta 0.165 0.835 0.500
Ta 0.336 0.664 0.000
Ta 0.664 0.336 0.000
Ta 0.835 0.165 0.500
Al 0.500 0.500 0.500

## Properties
**Formation energy from the elements**: -0.06 eV/atom
**Density of states at the Fermi level**: 0.946 states/eV/atom
**Offset from the most stable computed form**: 0.0 kJ per mole of atoms
**V**: 103.8 Å³ per cell


(3)
Here is a relaxed structure of CoReRu3 from the Alexandria database. Energies are from PBEsol.

a = 4.573 Å, b = 4.573 Å, c = 4.573 Å
α = 90.00°, β = 90.00°, γ = 90.00°
Sites, in units of the cell vectors:
Co 0.000 0.000 0.000
Re 0.500 0.500 0.500
Ru 0.000 0.500 0.500
Ru 0.500 0.000 0.500
Ru 0.500 0.500 0.000

## Properties
**Formation energy from the elements**: 2.14 eV/atom
**Density of states at the Fermi level**: 1.481 states/eV/atom
**V**: 95.7 Å³ per cell


Which of these has the highest density of states at the Fermi level?
CoReRu3


Copy entry 1 word for word.
Here is a relaxed structure of CeMg from the Alexandria database. Energies are from PBEsol.

a = 6.155 Å, b = 6.155 Å, c = 6.155 Å
α = 28.58°, β = 28.58°, γ = 28.58°
Sites, in units of the cell vectors:
Ce 0.000 0.000 0.000
Mg 0.500 0.500 0.500

## Properties
**Formation energy from the elements**: 0.03 eV/atom
**Density of states at the Fermi level**: 1.441 states/eV/atom
**V**: 47.2 Å³ per cell